Record 1
First-principles (GGA-PBE) data for a geometry-optimized Pr3Ag3Au structure, as listed in the Alexandria database.

The structure in POSCAR format:
```
Pr3Ag3Au
1.0
4.653 0.000 -1.015
-0.185 3.657 -0.849
-0.098 0.554 10.724
Pr Ag Au
3 3 1
direct
0.314 0.814 0.627 Pr
0.691 0.191 0.382 Pr
0.995 0.995 0.990 Pr
0.143 0.643 0.285 Ag
0.856 0.356 0.712 Ag
0.567 0.567 0.135 Ag
0.434 0.434 0.868 Au
```

Computed properties:
Formation enthalpy at 0 K   -2.54 eV per formula unit


Record 2
First-principles (GGA-PBE) data for a geometry-optimized Li3Cu2O4 structure, as listed in the Alexandria database.

The structure in POSCAR format:
```
Li3Cu2O4
1.0
-0.032 4.158 3.901
3.245 -3.329 3.910
5.150 2.385 -2.165
Li Cu O
6 4 8
direct
0.880 0.135 0.620 Li
0.620 0.380 0.865 Li
0.120 0.865 0.380 Li
0.380 0.620 0.135 Li
0.250 0.347 0.653 Li
0.750 0.653 0.347 Li
0.525 0.852 0.677 Cu
0.975 0.323 0.148 Cu
0.475 0.148 0.323 Cu
0.025 0.677 0.852 Cu
0.541 0.163 0.647 O
0.959 0.353 0.837 O
0.459 0.837 0.353 O
0.041 0.647 0.163 O
0.878 0.804 0.616 O
0.622 0.384 0.196 O
0.122 0.196 0.384 O
0.378 0.616 0.804 O
```

Computed properties:
Excess energy over the best structure of this formula in the dataset   167.1 meV/atom
Raw formation energy   -106 kJ per mole of atoms


Record 3
First-principles (GGA-PBE) data for a geometry-optimized AlCdW2 structure, as listed in the Alexandria database.

The structure in POSCAR format:
```
AlCdW2
1.0
-0.900 4.445 2.455
-4.322 -0.126 2.811
4.519 -2.430 -0.519
Al W Cd
1 2 1
direct
0.505 0.505 0.000 Al
0.984 0.984 0.000 W
0.757 0.257 0.500 W
0.254 0.754 0.500 Cd
```

Computed properties:
Excess energy over the best structure of this formula in the dataset   165.8 meV/atom
Formation enthalpy at 0 K   1.66 eV per formula unit


Record 4
First-principles (GGA-PBE) data for a geometry-optimized Pm2ThPt9 structure, as listed in the Alexandria database.

The structure in POSCAR format:
```
Pm2ThPt9
1.0
-1.140 -2.794 4.535
-1.234 -5.297 -0.302
7.871 -4.767 2.313
Pm Th Pt
2 1 9
direct
0.860 0.860 0.419 Pm
0.140 0.140 0.581 Pm
0.000 0.000 0.000 Th
0.667 0.667 0.999 Pt
0.333 0.333 0.001 Pt
0.500 0.500 0.500 Pt
0.414 0.414 0.254 Pt
0.919 0.414 0.254 Pt
0.414 0.919 0.254 Pt
0.586 0.586 0.746 Pt
0.586 0.081 0.746 Pt
0.081 0.586 0.746 Pt
```

Computed properties:
Formation enthalpy at 0 K   -11.60 eV per formula unit


Record 5
First-principles (GGA-PBE) data for a geometry-optimized K2Sn2Se3 structure, as listed in the Alexandria database.

The structure in POSCAR format:
```
K2Sn2Se3
1.0
5.736 0.000 -1.709
-0.727 6.116 -2.439
-0.890 -0.358 7.495
K Sn Se
2 2 3
direct
0.602 0.780 0.204 K
0.398 0.220 0.796 K
0.856 0.677 0.712 Sn
0.144 0.323 0.288 Sn
0.000 0.500 0.000 Se
0.335 0.685 0.670 Se
0.665 0.315 0.330 Se
```

Computed properties:
Raw formation energy   -72 kJ per mole of atoms


Record 6
First-principles (GGA-PBE) data for a geometry-optimized PrMg2Zn structure, as listed in the Alexandria database.

The structure in POSCAR format:
```
PrMg2Zn
1.0
-0.458 -0.586 -5.011
-2.064 -4.228 -1.878
-4.579 0.160 -2.161
Pr Zn Mg
1 1 2
direct
0.000 0.000 0.000 Pr
0.500 0.500 0.500 Zn
0.250 0.250 0.250 Mg
0.750 0.750 0.750 Mg
```

Computed properties:
Formation enthalpy at 0 K   -0.37 eV per formula unit


Record 7
First-principles (GGA-PBE) data for a geometry-optimized Nd2SmPu structure, as listed in the Alexandria database.

The structure in POSCAR format:
```
Nd2SmPu
1.0
3.625 0.000 0.000
1.812 3.139 0.000
1.812 1.046 11.687
Nd Sm Pu
2 1 1
direct
0.081 0.081 0.756 Nd
0.252 0.252 0.244 Nd
0.500 0.500 0.500 Sm
0.667 0.667 0.000 Pu
```

Computed properties:
Excess energy over the best structure of this formula in the dataset   10.7 meV/atom
Formation enthalpy at 0 K   0.51 eV per formula unit


Record 8
First-principles (GGA-PBE) data for a geometry-optimized CuTe3 structure, as listed in the Alexandria database.

The structure in POSCAR format:
```
CuTe3
1.0
-1.763 -0.920 4.239
-0.452 -4.512 -1.167
4.314 -0.848 1.610
Cu Te
1 3
direct
0.000 0.000 0.000 Cu
0.000 0.500 0.500 Te
0.500 0.000 0.500 Te
0.500 0.500 0.000 Te
```

Computed properties:
Raw formation energy   54 kJ per mole of atoms